*one*
Entry from the Alexandria database: a relaxed structure of Sn2P2I (GGA-PBE).

Symmetry: I4/mmm
V, Å³/atom: 25.755
Fermi-level density of states, states/eV/f.u.: 1.2
Total moment, Bohr magnetons per cell: 0.0

Cell and atoms, written as extended XYZ:
```
5
Lattice="-3.524 -0.696 -3.968 -0.788 -5.050 1.587 -5.474 -1.505 1.516" Properties=species:S:1:pos:R:3 pbc="T T T"
I 0.000 0.000 0.000
P -2.944 -2.548 -0.548
P -6.843 -4.703 -0.317
Sn -5.577 -2.537 -1.821
Sn -4.209 -4.714 0.956
```



*two*
Entry from the Alexandria database: a relaxed structure of Sn2P2I (GGA-PBE).

Symmetry: I4/mmm
V, Å³/atom: 27.274
Fermi-level density of states, states/eV/f.u.: 1.2
Total moment, Bohr magnetons per cell: 0.0

Cell and atoms, written as extended XYZ:
```
5
Lattice="-1.852 -2.910 -2.127 3.363 -2.256 0.158 -1.903 -6.051 6.074" Properties=species:S:1:pos:R:3 pbc="T T T"
I 0.000 0.000 0.000
P -1.500 -5.772 1.481
P 1.108 -5.445 2.624
Sn 0.068 -3.480 0.840
Sn -0.460 -7.738 3.264
```



*two* is the least stable structure shown above.